1.
First-principles (PBE-GGA) data for an optimized crystal structure of TbLuAlTc, as listed in Alexandria.

## Properties
ΔE_f (eV/atom): -0.181

Cell: 4.932 4.932 4.932 Å, 60.00 60.00 60.00°
Sites, in units of the cell vectors:
Tb 0.000 0.000 0.000
Lu 0.500 0.500 0.500
Al 0.250 0.250 0.250
Tc 0.750 0.750 0.750

=====

2.
First-principles (PBE-GGA) data for an optimized crystal structure of ZrV3Au, as listed in Alexandria.

## Properties
ΔE_f (eV/atom): 1.580

Cell: 4.639 4.639 4.639 Å, 90.00 90.00 90.00°
Sites, in units of the cell vectors:
Zr 0.000 0.000 0.000
V 0.000 0.000 0.500
V 0.000 0.500 0.000
V 0.500 0.000 0.000
Au 0.500 0.500 0.500

=====

3.
First-principles (PBE-GGA) data for an optimized crystal structure of PaTaGe, as listed in Alexandria.

## Properties
ΔE_f (eV/atom): 0.016

Cell: 4.792 4.792 3.124 Å, 90.00 90.00 120.00°
Sites, in units of the cell vectors:
Pa 0.000 0.000 0.000
Ta 0.667 0.333 0.500
Ge 0.333 0.667 0.500

=====

4.
First-principles (PBE-GGA) data for an optimized crystal structure of Th3Ge6Pt20, as listed in Alexandria.

## Properties
ΔE_f (eV/atom): -0.616

Cell: 8.967 8.967 8.967 Å, 60.00 60.00 60.00°
Sites, in units of the cell vectors:
Th 0.000 0.000 0.000
Th 0.250 0.250 0.250
Th 0.750 0.750 0.750
Ge 0.268 0.268 0.732
Ge 0.268 0.732 0.268
Ge 0.268 0.732 0.732
Ge 0.732 0.268 0.268
Ge 0.732 0.268 0.732
Ge 0.732 0.732 0.268
Pt 0.000 0.000 0.348
Pt 0.000 0.000 0.652
Pt 0.000 0.348 0.000
Pt 0.000 0.348 0.652
Pt 0.000 0.652 0.000
Pt 0.000 0.652 0.348
Pt 0.147 0.618 0.618
Pt 0.348 0.000 0.000
Pt 0.348 0.000 0.652
Pt 0.348 0.652 0.000
Pt 0.382 0.382 0.382
Pt 0.382 0.382 0.853
Pt 0.382 0.853 0.382
Pt 0.618 0.147 0.618
Pt 0.618 0.618 0.147
Pt 0.618 0.618 0.618
Pt 0.652 0.000 0.000
Pt 0.652 0.000 0.348
Pt 0.652 0.348 0.000
Pt 0.853 0.382 0.382

=====

5.
First-principles (PBE-GGA) data for an optimized crystal structure of Rb2MnH6, as listed in Alexandria.

## Properties
Raw total energy (eV per atom): -3.50

Cell: 5.354 5.354 11.107 Å, 90.00 90.00 90.00°
Sites, in units of the cell vectors:
Rb 0.000 0.000 0.161
Rb 0.000 0.000 0.839
Rb 0.500 0.500 0.339
Rb 0.500 0.500 0.661
Mn 0.000 0.000 0.500
Mn 0.500 0.500 0.000
H 0.151 0.151 0.392
H 0.151 0.151 0.608
H 0.218 0.782 0.500
H 0.282 0.282 0.000
H 0.349 0.651 0.108
H 0.349 0.651 0.892
H 0.651 0.349 0.108
H 0.651 0.349 0.892
H 0.718 0.718 0.000
H 0.782 0.218 0.500
H 0.849 0.849 0.392
H 0.849 0.849 0.608

=====

6.
First-principles (PBE-GGA) data for an optimized crystal structure of Y6Se5S, as listed in Alexandria.

## Properties
ΔE_f (raw) (eV/atom): -1.812

Cell: 7.045 7.045 7.046 Å, 99.51 99.51 120.04°
Sites, in units of the cell vectors:
Y 0.077 0.388 0.733
Y 0.231 0.231 0.263
Y 0.388 0.077 0.733
Y 0.612 0.923 0.267
Y 0.769 0.769 0.737
Y 0.923 0.612 0.267
Se 0.173 0.827 0.000
Se 0.334 0.666 0.500
Se 0.500 0.500 0.000
Se 0.666 0.334 0.500
Se 0.827 0.173 0.000
S 0.000 0.000 0.500

=====

7.
First-principles (PBE-GGA) data for an optimized crystal structure of MgBe2C, as listed in Alexandria.

## Properties
ΔE_f (eV/atom): -0.011

Cell: 10.785 10.785 10.785 Å, 16.28 16.28 16.28°
Sites, in units of the cell vectors:
Mg 0.000 0.000 0.000
Mg 0.247 0.247 0.247
Be 0.141 0.141 0.141
Be 0.433 0.433 0.433
Be 0.730 0.730 0.730
Be 0.844 0.844 0.844
C 0.079 0.079 0.079
C 0.492 0.492 0.492

=====

8.
First-principles (PBE-GGA) data for an optimized crystal structure of Zn3HgO4, as listed in Alexandria.

## Properties
ΔE_f (raw) (eV/atom): -1.109

Cell: 6.786 5.879 5.509 Å, 90.00 90.00 90.00°
Sites, in units of the cell vectors:
Zn 0.000 0.177 0.000
Zn 0.249 0.664 0.002
Zn 0.251 0.336 0.502
Zn 0.500 0.823 0.500
Zn 0.749 0.336 0.502
Zn 0.751 0.664 0.002
Hg 0.000 0.837 0.499
Hg 0.500 0.163 0.999
O 0.000 0.207 0.637
O 0.000 0.842 0.075
O 0.226 0.350 0.140
O 0.274 0.650 0.640
O 0.500 0.158 0.575
O 0.500 0.793 0.137
O 0.726 0.650 0.640
O 0.774 0.350 0.140